# 1
# Re2RhCl

A crystal of Re2RhCl relaxed with PBEsol (meta-GGA SCAN, Alexandria via LeMat-Bulk).

a b c (Å): 3.955 5.304 5.304
angles (deg): 30.58 90.00 90.00
Sites, in units of the cell vectors:
Re1 0.000 0.000 0.000
Re2 0.500 0.368 0.368
Rh1 0.000 0.746 0.746
Cl1 0.500 0.137 0.137

Calculated values
The uncorrected formation energy is 0.6133 eV per atom. For the energy above the most stable polymorph in this dataset, the calculation gives 0 meV per atom. The total energy is -45.37 eV per atom. The calculation puts the calculated density at 14.98 g cm⁻³. As for the space group: No. 38.



# 2
# Re2RhCl

A crystal of Re2RhCl relaxed with PBEsol (meta-GGA SCAN, Alexandria via LeMat-Bulk).

a b c (Å): 2.696 3.585 6.127
angles (deg): 90.00 90.00 90.00
Sites, in units of the cell vectors:
Re1 0.000 0.000 0.225
Re2 0.000 0.000 0.775
Rh1 0.500 0.500 0.000
Cl1 0.500 0.500 0.500

Calculated values
The uncorrected formation energy is 0.9382 eV per atom. For the energy above the most stable polymorph in this dataset, the calculation gives 325 meV per atom. The total energy is -45.05 eV per atom. The calculation puts the calculated density at 14.32 g cm⁻³. As for the space group: No. 47.



# 3
# ReSbRh2Cl

A crystal of ReSbRh2Cl relaxed with PBEsol (meta-GGA SCAN, Alexandria via LeMat-Bulk).

a b c (Å): 4.250 4.250 5.055
angles (deg): 90.00 90.00 90.00
Sites, in units of the cell vectors:
Re1 0.000 0.000 0.000
Sb1 0.500 0.500 0.000
Rh1 0.000 0.500 0.500
Rh2 0.500 0.000 0.500
Cl1 0.500 0.500 0.500

Calculated values
The uncorrected formation energy is 1.5443 eV per atom. The total energy is -35.23 eV per atom. The calculation puts the calculated density at 9.99 g cm⁻³. As for the space group: No. 123.



# 4
# Zr2ReRhCl

A crystal of Zr2ReRhCl relaxed with PBEsol (meta-GGA SCAN, Alexandria via LeMat-Bulk).

a b c (Å): 5.029 5.029 4.355
angles (deg): 90.00 90.00 90.00
Sites, in units of the cell vectors:
Zr1 0.000 0.500 0.000
Zr2 0.500 0.000 0.000
Re1 0.000 0.000 0.000
Rh1 0.500 0.500 0.500
Cl1 0.000 0.000 0.500

Calculated values
The uncorrected formation energy is 0.8315 eV per atom. The total energy is -34.02 eV per atom. The calculation puts the calculated density at 7.64 g cm⁻³. As for the space group: No. 123.



# 5
# Re2RuCl

A crystal of Re2RuCl relaxed with PBEsol (meta-GGA SCAN, Alexandria via LeMat-Bulk).

a b c (Å): 4.915 4.915 4.441
angles (deg): 90.56 90.56 33.12
Sites, in units of the cell vectors:
Re1 0.000 0.000 0.000
Re2 0.709 0.709 0.740
Ru1 0.275 0.275 0.208
Cl1 0.499 0.499 0.429

Calculated values
The uncorrected formation energy is 0.7603 eV per atom. For the energy above the most stable polymorph in this dataset, the calculation gives 0 meV per atom. The total energy is -45.49 eV per atom. The calculation puts the calculated density at 14.42 g cm⁻³. As for the space group: No. 8.



# 6
# Re2RuCl

A crystal of Re2RuCl relaxed with PBEsol (meta-GGA SCAN, Alexandria via LeMat-Bulk).

a b c (Å): 4.342 4.342 4.342
angles (deg): 60.00 60.00 60.00
Sites, in units of the cell vectors:
Re1 0.000 0.000 0.000
Re2 0.250 0.250 0.250
Ru1 0.750 0.750 0.750
Cl1 0.500 0.500 0.500

Calculated values
The uncorrected formation energy is 1.1231 eV per atom. For the energy above the most stable polymorph in this dataset, the calculation gives 363 meV per atom. The total energy is -45.13 eV per atom. The calculation puts the calculated density at 14.60 g cm⁻³. As for the space group: No. 216.



# 7
# ReRuSCl2

A crystal of ReRuSCl2 relaxed with PBEsol (meta-GGA SCAN, Alexandria via LeMat-Bulk).

a b c (Å): 4.776 4.776 4.435
angles (deg): 90.00 90.00 90.00
Sites, in units of the cell vectors:
Re1 0.000 0.000 0.000
Ru1 0.500 0.500 0.500
S1 0.000 0.000 0.500
Cl1 0.000 0.500 0.000
Cl2 0.500 0.000 0.000

Calculated values
The uncorrected formation energy is 0.8598 eV per atom. The total energy is -25.44 eV per atom. The calculation puts the calculated density at 6.41 g cm⁻³. As for the space group: No. 123.



# 8
# ReSeSCl2

A crystal of ReSeSCl2 relaxed with PBEsol (meta-GGA SCAN, Alexandria via LeMat-Bulk).

a b c (Å): 4.609 4.609 5.093
angles (deg): 90.00 90.00 90.00
Sites, in units of the cell vectors:
Re1 0.000 0.000 0.000
Se1 0.500 0.500 0.000
S1 0.500 0.500 0.500
Cl1 0.000 0.500 0.500
Cl2 0.500 0.000 0.500

Calculated values
The uncorrected formation energy is 1.2469 eV per atom. The total energy is -22.11 eV per atom. The calculation puts the calculated density at 5.65 g cm⁻³. As for the space group: No. 123.



# 9
# ReTcS2Cl

A crystal of ReTcS2Cl relaxed with PBEsol (meta-GGA SCAN, Alexandria via LeMat-Bulk).

a b c (Å): 4.549 4.549 4.699
angles (deg): 90.00 90.00 90.00
Sites, in units of the cell vectors:
Re1 0.000 0.000 0.000
Tc1 0.500 0.500 0.500
S1 0.000 0.500 0.500
S2 0.500 0.000 0.500
Cl1 0.500 0.500 0.000

Calculated values
The uncorrected formation energy is 1.1098 eV per atom. The total energy is -25.57 eV per atom. The calculation puts the calculated density at 6.56 g cm⁻³. As for the space group: No. 123.



# 10
# TlReS2Cl

A crystal of TlReS2Cl relaxed with PBEsol (meta-GGA SCAN, Alexandria via LeMat-Bulk).

a b c (Å): 4.557 4.557 5.134
angles (deg): 90.00 90.00 90.00
Sites, in units of the cell vectors:
Tl1 0.000 0.000 0.000
Re1 0.500 0.500 0.500
S1 0.000 0.500 0.500
S2 0.500 0.000 0.500
Cl1 0.500 0.500 0.000

Calculated values
The uncorrected formation energy is -0.1654 eV per atom. The total energy is -34.30 eV per atom. The calculation puts the calculated density at 7.63 g cm⁻³. As for the space group: No. 123.



# 11
# TlRe3S4Cl2

A crystal of TlRe3S4Cl2 relaxed with PBEsol (meta-GGA SCAN, Alexandria via LeMat-Bulk).

a b c (Å): 6.317 8.756 16.322
angles (deg): 95.18 92.87 96.47
Sites, in units of the cell vectors:
Tl1 0.038 0.493 0.334
Tl2 0.454 0.004 0.149
Tl3 0.546 0.996 0.851
Tl4 0.962 0.507 0.666
Re1 0.037 0.331 0.927
Re2 0.071 0.395 0.089
Re3 0.220 0.974 0.461
Re4 0.280 0.575 0.995
Re5 0.424 0.906 0.593
Re6 0.464 0.191 0.552
Re7 0.536 0.809 0.448
Re8 0.576 0.094 0.407
Re9 0.720 0.425 0.005
Re10 0.780 0.026 0.539
Re11 0.929 0.605 0.911
Re12 0.963 0.669 0.073
S1 0.146 0.070 0.604
S2 0.163 0.821 0.979
S3 0.203 0.716 0.501
S4 0.230 0.512 0.848
S5 0.277 0.235 0.426
S6 0.291 0.628 0.142
S7 0.343 0.886 0.331
S8 0.351 0.302 0.011
S9 0.649 0.698 0.989
S10 0.657 0.114 0.669
S11 0.709 0.372 0.858
S12 0.723 0.765 0.574
S13 0.770 0.488 0.152
S14 0.797 0.284 0.499
S15 0.837 0.179 0.021
S16 0.854 0.930 0.396
Cl1 0.083 0.116 0.833
Cl2 0.173 0.261 0.203
Cl3 0.318 0.786 0.712
Cl4 0.428 0.437 0.621
Cl5 0.572 0.563 0.379
Cl6 0.682 0.214 0.288
Cl7 0.827 0.739 0.797
Cl8 0.917 0.884 0.167

Calculated values
The uncorrected formation energy is -0.7558 eV per atom. The total energy is -34.77 eV per atom. The calculation puts the calculated density at 7.17 g cm⁻³. As for the space group: No. 2.



# 12
# ReWS2Cl

A crystal of ReWS2Cl relaxed with PBEsol (meta-GGA SCAN, Alexandria via LeMat-Bulk).

a b c (Å): 4.635 4.635 4.767
angles (deg): 90.00 90.00 90.00
Sites, in units of the cell vectors:
Re1 0.000 0.000 0.000
W1 0.500 0.500 0.500
S1 0.000 0.500 0.500
S2 0.500 0.000 0.500
Cl1 0.500 0.500 0.000

Calculated values
The uncorrected formation energy is 1.1423 eV per atom. The total energy is -32.46 eV per atom. The calculation puts the calculated density at 7.61 g cm⁻³. As for the space group: No. 123.



Question: Among the records above, which one has the lowest uncorrected formation energy?
Answer: TlRe3S4Cl2



Please write out number 12 again, unchanged.
# ReWS2Cl

A crystal of ReWS2Cl relaxed with PBEsol (meta-GGA SCAN, Alexandria via LeMat-Bulk).

a b c (Å): 4.635 4.635 4.767
angles (deg): 90.00 90.00 90.00
Sites, in units of the cell vectors:
Re1 0.000 0.000 0.000
W1 0.500 0.500 0.500
S1 0.000 0.500 0.500
S2 0.500 0.000 0.500
Cl1 0.500 0.500 0.000

Calculated values
The uncorrected formation energy is 1.1423 eV per atom. The total energy is -32.46 eV per atom. The calculation puts the calculated density at 7.61 g cm⁻³. As for the space group: No. 123.



Question: Which formula does entry 1 have?
Answer: Re2RhCl